# 1
DFT (PBE-GGA) results for Li2LaPrSn4 after structural relaxation.

Summary:
- Uncorrected energy: -34.43 eV per cell
- Space group: Amm2

a = 4.561 Å, b = 9.867 Å, c = 9.867 Å
α = 26.69°, β = 90.00°, γ = 90.00°
Atoms (fractional coordinates):
Li (0.000, 0.000, 0.000)
Li (0.500, 0.351, 0.351)
La (0.000, 0.782, 0.782)
Pr (0.500, 0.569, 0.569)
Sn (0.000, 0.132, 0.132)
Sn (0.000, 0.426, 0.426)
Sn (0.500, 0.219, 0.219)
Sn (0.500, 0.926, 0.926)

# 2
DFT (PBE-GGA) results for LiLa3Pt8 after structural relaxation.

Summary:
- Uncorrected energy: -77.11 eV per cell
- Space group: R3m

a = 9.527 Å, b = 9.527 Å, c = 9.527 Å
α = 33.53°, β = 33.53°, γ = 33.53°
Atoms (fractional coordinates):
Li (0.000, 0.000, 0.000)
La (0.359, 0.359, 0.359)
La (0.487, 0.487, 0.487)
La (0.874, 0.874, 0.874)
Pt (0.177, 0.177, 0.177)
Pt (0.426, 0.926, 0.926)
Pt (0.428, 0.428, 0.925)
Pt (0.428, 0.925, 0.428)
Pt (0.677, 0.677, 0.677)
Pt (0.925, 0.428, 0.428)
Pt (0.926, 0.426, 0.926)
Pt (0.926, 0.926, 0.426)

# 3
DFT (PBE-GGA) results for LiLaPu after structural relaxation.

Summary:
- Uncorrected energy: -19.32 eV per cell
- Space group: F-43m

a = 5.025 Å, b = 5.025 Å, c = 5.025 Å
α = 60.00°, β = 60.00°, γ = 60.00°
Atoms (fractional coordinates):
Li (0.000, 0.000, 0.000)
La (0.250, 0.250, 0.250)
Pu (0.750, 0.750, 0.750)

# 4
DFT (PBE-GGA) results for LiLaZnSe3 after structural relaxation.

Summary:
- Space group: Pnma
- ΔE to the lowest computed polymorph: 0.00 eV per formula unit

a = 12.034 Å, b = 4.183 Å, c = 11.846 Å
α = 90.00°, β = 90.00°, γ = 90.00°
Atoms (fractional coordinates):
Li (0.119, 0.250, 0.010)
Li (0.381, 0.750, 0.510)
Li (0.619, 0.250, 0.490)
Li (0.881, 0.750, 0.990)
La (0.029, 0.250, 0.683)
La (0.471, 0.750, 0.183)
La (0.529, 0.250, 0.817)
La (0.971, 0.750, 0.317)
Zn (0.241, 0.250, 0.291)
Zn (0.259, 0.750, 0.791)
Zn (0.741, 0.250, 0.209)
Zn (0.759, 0.750, 0.709)
Se (0.069, 0.750, 0.869)
Se (0.099, 0.250, 0.434)
Se (0.211, 0.750, 0.174)
Se (0.289, 0.250, 0.674)
Se (0.401, 0.750, 0.934)
Se (0.431, 0.250, 0.369)
Se (0.569, 0.750, 0.631)
Se (0.599, 0.250, 0.066)
Se (0.711, 0.750, 0.326)
Se (0.789, 0.250, 0.826)
Se (0.901, 0.750, 0.566)
Se (0.931, 0.250, 0.131)

# 5
DFT (PBE-GGA) results for LiLaZnSe3 after structural relaxation.

Summary:
- Space group: Pnma
- ΔE to the lowest computed polymorph: 0.07 eV per formula unit

a = 13.842 Å, b = 4.146 Å, c = 11.595 Å
α = 90.00°, β = 90.00°, γ = 90.00°
Atoms (fractional coordinates):
Li (0.212, 0.250, 0.183)
Li (0.288, 0.750, 0.683)
Li (0.712, 0.250, 0.317)
Li (0.788, 0.750, 0.817)
La (0.045, 0.750, 0.844)
La (0.455, 0.250, 0.344)
La (0.545, 0.750, 0.656)
La (0.955, 0.250, 0.156)
Zn (0.027, 0.250, 0.596)
Zn (0.473, 0.750, 0.096)
Zn (0.527, 0.250, 0.904)
Zn (0.973, 0.750, 0.404)
Se (0.077, 0.250, 0.383)
Se (0.100, 0.750, 0.090)
Se (0.167, 0.250, 0.730)
Se (0.333, 0.750, 0.230)
Se (0.400, 0.250, 0.590)
Se (0.423, 0.750, 0.883)
Se (0.577, 0.250, 0.117)
Se (0.600, 0.750, 0.410)
Se (0.667, 0.250, 0.770)
Se (0.833, 0.750, 0.270)
Se (0.900, 0.250, 0.910)
Se (0.923, 0.750, 0.617)

# 6
DFT (PBE-GGA) results for LiLaZnSe3 after structural relaxation.

Summary:
- Space group: Cmcm
- ΔE to the lowest computed polymorph: 0.21 eV per formula unit

a = 6.789 Å, b = 6.789 Å, c = 11.497 Å
α = 90.00°, β = 90.00°, γ = 144.74°
Atoms (fractional coordinates):
Li (0.224, 0.776, 0.750)
Li (0.776, 0.224, 0.250)
La (0.000, 0.000, 0.000)
La (0.000, 0.000, 0.500)
Zn (0.473, 0.527, 0.250)
Zn (0.527, 0.473, 0.750)
Se (0.089, 0.911, 0.250)
Se (0.352, 0.648, 0.086)
Se (0.352, 0.648, 0.414)
Se (0.648, 0.352, 0.586)
Se (0.648, 0.352, 0.914)
Se (0.911, 0.089, 0.750)

# 7
DFT (PBE-GGA) results for LiLaZnSe3 after structural relaxation.

Summary:
- Space group: Pnma
- ΔE to the lowest computed polymorph: 0.21 eV per formula unit

a = 11.564 Å, b = 4.131 Å, c = 12.708 Å
α = 90.00°, β = 90.00°, γ = 90.00°
Atoms (fractional coordinates):
Li (0.219, 0.250, 0.026)
Li (0.281, 0.750, 0.526)
Li (0.719, 0.250, 0.474)
Li (0.781, 0.750, 0.974)
La (0.011, 0.250, 0.277)
La (0.489, 0.750, 0.777)
La (0.511, 0.250, 0.223)
La (0.989, 0.750, 0.723)
Zn (0.244, 0.250, 0.723)
Zn (0.256, 0.750, 0.223)
Zn (0.744, 0.250, 0.777)
Zn (0.756, 0.750, 0.277)
Se (0.079, 0.750, 0.116)
Se (0.095, 0.250, 0.586)
Se (0.230, 0.750, 0.838)
Se (0.270, 0.250, 0.338)
Se (0.405, 0.750, 0.086)
Se (0.421, 0.250, 0.616)
Se (0.579, 0.750, 0.384)
Se (0.595, 0.250, 0.914)
Se (0.730, 0.750, 0.662)
Se (0.770, 0.250, 0.162)
Se (0.905, 0.750, 0.414)
Se (0.921, 0.250, 0.884)

# 8
DFT (PBE-GGA) results for LiLaZnSe3 after structural relaxation.

Summary:
- Space group: C2/m
- ΔE to the lowest computed polymorph: 0.51 eV per formula unit

a = 10.404 Å, b = 10.404 Å, c = 7.659 Å
α = 109.55°, β = 109.55°, γ = 22.65°
Atoms (fractional coordinates):
Li (0.087, 0.087, 0.004)
Li (0.913, 0.913, 0.996)
La (0.212, 0.212, 0.727)
La (0.788, 0.788, 0.273)
Zn (0.460, 0.460, 0.655)
Zn (0.540, 0.540, 0.345)
Se (0.000, 0.000, 0.500)
Se (0.334, 0.334, 0.578)
Se (0.336, 0.336, 0.070)
Se (0.500, 0.500, 0.000)
Se (0.664, 0.664, 0.930)
Se (0.666, 0.666, 0.422)

# 9
DFT (PBE-GGA) results for LiLaZnSe3 after structural relaxation.

Summary:
- Space group: Pnma
- ΔE to the lowest computed polymorph: 0.26 eV per formula unit

a = 8.308 Å, b = 4.211 Å, c = 17.257 Å
α = 90.00°, β = 90.00°, γ = 90.00°
Atoms (fractional coordinates):
Li (0.102, 0.250, 0.238)
Li (0.398, 0.750, 0.738)
Li (0.602, 0.250, 0.262)
Li (0.898, 0.750, 0.762)
La (0.235, 0.250, 0.552)
La (0.265, 0.750, 0.052)
La (0.735, 0.250, 0.948)
La (0.765, 0.750, 0.448)
Zn (0.142, 0.250, 0.857)
Zn (0.358, 0.750, 0.357)
Zn (0.642, 0.250, 0.643)
Zn (0.858, 0.750, 0.143)
Se (0.002, 0.250, 0.091)
Se (0.126, 0.750, 0.443)
Se (0.195, 0.250, 0.721)
Se (0.305, 0.750, 0.221)
Se (0.374, 0.250, 0.943)
Se (0.498, 0.750, 0.591)
Se (0.502, 0.250, 0.409)
Se (0.626, 0.750, 0.057)
Se (0.695, 0.250, 0.779)
Se (0.805, 0.750, 0.279)
Se (0.874, 0.250, 0.557)
Se (0.998, 0.750, 0.909)

# 10
DFT (PBE-GGA) results for LiLaZnSe3 after structural relaxation.

Summary:
- Space group: P2_1/m
- ΔE to the lowest computed polymorph: 0.03 eV per formula unit

a = 7.970 Å, b = 4.139 Å, c = 10.057 Å
α = 90.00°, β = 99.59°, γ = 90.00°
Atoms (fractional coordinates):
Li (0.164, 0.250, 0.123)
Li (0.836, 0.750, 0.877)
La (0.337, 0.750, 0.837)
La (0.663, 0.250, 0.163)
Zn (0.074, 0.250, 0.603)
Zn (0.926, 0.750, 0.397)
Se (0.065, 0.250, 0.848)
Se (0.222, 0.750, 0.531)
Se (0.395, 0.750, 0.141)
Se (0.605, 0.250, 0.859)
Se (0.778, 0.250, 0.469)
Se (0.935, 0.750, 0.152)

# 11
DFT (PBE-GGA) results for LiLaSm after structural relaxation.

Summary:
- Space group: F-43m
- ΔE to the lowest computed polymorph: 0.00 eV per formula unit

a = 5.170 Å, b = 5.170 Å, c = 5.170 Å
α = 60.00°, β = 60.00°, γ = 60.00°
Atoms (fractional coordinates):
Li (0.000, 0.000, 0.000)
La (0.750, 0.750, 0.750)
Sm (0.250, 0.250, 0.250)

# 12
DFT (PBE-GGA) results for LiLaU after structural relaxation.

Summary:
- Space group: F-43m
- ΔE to the lowest computed polymorph: 0.00 eV per formula unit

a = 4.881 Å, b = 4.881 Å, c = 4.881 Å
α = 60.00°, β = 60.00°, γ = 60.00°
Atoms (fractional coordinates):
Li (0.000, 0.000, 0.000)
La (0.750, 0.750, 0.750)
U (0.250, 0.250, 0.250)

# 13
DFT (PBE-GGA) results for Li2LaZn after structural relaxation.

Summary:
- Uncorrected energy: -10.24 eV per cell
- Space group: F-43m

a = 5.000 Å, b = 5.000 Å, c = 5.000 Å
α = 60.00°, β = 60.00°, γ = 60.00°
Atoms (fractional coordinates):
Li (0.000, 0.000, 0.000)
Li (0.250, 0.250, 0.250)
La (0.750, 0.750, 0.750)
Zn (0.500, 0.500, 0.500)

# 14
DFT (PBE-GGA) results for LaLu after structural relaxation.

Summary:
- Formation enthalpy at 0 K: 1605 meV/atom
- Space group: F-43m
- ΔE to the lowest computed polymorph: 3.07 eV per formula unit

a = 5.033 Å, b = 5.033 Å, c = 5.033 Å
α = 60.00°, β = 60.00°, γ = 60.00°
Atoms (fractional coordinates):
La (0.000, 0.000, 0.000)
Lu (0.750, 0.750, 0.750)

# 15
DFT (PBE-GGA) results for LaLu after structural relaxation.

Summary:
- Formation enthalpy at 0 K: 67 meV/atom
- Space group: P-6m2
- ΔE to the lowest computed polymorph: 0.00 eV per formula unit

a = 3.646 Å, b = 3.646 Å, c = 5.790 Å
α = 90.00°, β = 90.00°, γ = 120.00°
Atoms (fractional coordinates):
La (0.000, 0.000, 0.000)
Lu (0.667, 0.333, 0.500)

# 16
DFT (PBE-GGA) results for La2Lu after structural relaxation.

Summary:
- Formation enthalpy at 0 K: 2028 meV/atom
- Space group: Fd-3m
- ΔE to the lowest computed polymorph: 5.28 eV per formula unit

a = 9.308 Å, b = 9.308 Å, c = 9.308 Å
α = 60.00°, β = 60.00°, γ = 60.00°
Atoms (fractional coordinates):
La (0.000, 0.000, 0.000)
La (0.000, 0.000, 0.500)
La (0.000, 0.500, 0.000)
La (0.500, 0.000, 0.000)
Lu (0.125, 0.125, 0.125)
Lu (0.875, 0.875, 0.875)

# 17
DFT (PBE-GGA) results for LaLu after structural relaxation.

Summary:
- Formation enthalpy at 0 K: 657 meV/atom
- Space group: Fm-3m
- ΔE to the lowest computed polymorph: 1.18 eV per formula unit

a = 4.634 Å, b = 4.634 Å, c = 4.634 Å
α = 60.00°, β = 60.00°, γ = 60.00°
Atoms (fractional coordinates):
La (0.000, 0.000, 0.000)
Lu (0.500, 0.500, 0.500)

# 18
DFT (PBE-GGA) results for La2Lu after structural relaxation.

Summary:
- Formation enthalpy at 0 K: 269 meV/atom
- Space group: Fd-3m
- ΔE to the lowest computed polymorph: 0.00 eV per formula unit

a = 6.681 Å, b = 6.681 Å, c = 6.681 Å
α = 60.00°, β = 60.00°, γ = 60.00°
Atoms (fractional coordinates):
La (0.000, 0.000, 0.000)
La (0.000, 0.000, 0.500)
La (0.000, 0.500, 0.000)
La (0.500, 0.000, 0.000)
Lu (0.375, 0.375, 0.375)
Lu (0.625, 0.625, 0.625)

# 19
DFT (PBE-GGA) results for LaLuMg after structural relaxation.

Summary:
- Space group: F-43m
- ΔE to the lowest computed polymorph: 0.84 eV per formula unit

a = 5.275 Å, b = 5.275 Å, c = 5.275 Å
α = 60.00°, β = 60.00°, γ = 60.00°
Atoms (fractional coordinates):
La (0.000, 0.000, 0.000)
Lu (0.750, 0.750, 0.750)
Mg (0.250, 0.250, 0.250)

# 20
DFT (PBE-GGA) results for LaLuMg after structural relaxation.

Summary:
- Space group: F-43m
- ΔE to the lowest computed polymorph: 0.00 eV per formula unit

a = 5.296 Å, b = 5.296 Å, c = 5.296 Å
α = 60.00°, β = 60.00°, γ = 60.00°
Atoms (fractional coordinates):
La (0.000, 0.000, 0.000)
Lu (0.500, 0.500, 0.500)
Mg (0.250, 0.250, 0.250)